1.
# LiTa2TlTc PBE relaxed
data_LiTa2TlTc
_chemical_formula_sum 'Li1 Ta2 Tl1 Tc1'
_cell_length_a 5.119
_cell_length_b 5.119
_cell_length_c 4.063
_cell_angle_alpha 90.00
_cell_angle_beta 90.00
_cell_angle_gamma 90.00
_space_group_name_H-M_alt 'P 4/m m m'
_space_group_IT_number 123
_space_group_name_Hall '-P 4 2'
loop_
_atom_site_label
_atom_site_type_symbol
_atom_site_fract_x
_atom_site_fract_y
_atom_site_fract_z
Li1 Li 0.000 0.000 0.000
Ta1 Ta 0.000 0.500 0.500
Tl1 Tl 0.000 0.000 0.500
Tc1 Tc 0.500 0.500 0.000
# energy of formation: 1.97 eV/atom
# energy relative to the lowest polymorph listed for this composition: 4.46 eV/f.u.

---

2.
# BaSn2HgCl8 PBE relaxed
data_BaSn2HgCl8
_chemical_formula_sum 'Ba1 Sn2 Hg1 Cl8'
_cell_length_a 6.793
_cell_length_b 6.941
_cell_length_c 8.977
_cell_angle_alpha 89.98
_cell_angle_beta 85.65
_cell_angle_gamma 89.56
_space_group_name_H-M_alt 'P -1'
_space_group_IT_number 2
_space_group_name_Hall '-P 1'
loop_
_atom_site_label
_atom_site_type_symbol
_atom_site_fract_x
_atom_site_fract_y
_atom_site_fract_z
Ba1 Ba 0.000 0.000 0.000
Sn1 Sn 0.487 0.505 0.737
Hg1 Hg 0.000 0.000 0.500
Cl1 Cl 0.219 0.902 0.292
Cl2 Cl 0.255 0.810 0.740
Cl3 Cl 0.274 0.349 0.972
Cl4 Cl 0.276 0.340 0.546
# ΔE_f (raw): -121 kJ per mole of atoms

---

3.
# SrHg3Pd PBE relaxed
data_SrHg3Pd
_chemical_formula_sum 'Sr1 Hg3 Pd1'
_cell_length_a 6.087
_cell_length_b 6.087
_cell_length_c 6.087
_cell_angle_alpha 90.00
_cell_angle_beta 90.00
_cell_angle_gamma 90.00
_space_group_name_H-M_alt 'P m -3 m'
_space_group_IT_number 221
_space_group_name_Hall '-P 4 2 3'
loop_
_atom_site_label
_atom_site_type_symbol
_atom_site_fract_x
_atom_site_fract_y
_atom_site_fract_z
Sr1 Sr 0.000 0.000 0.000
Hg1 Hg 0.000 0.000 0.500
Pd1 Pd 0.500 0.500 0.500
# energy of formation: 0.66 eV/atom
# energy relative to the lowest polymorph listed for this composition: 5.24 eV/f.u.

---

4.
# Dy5Y4Tm3 PBE relaxed
data_Dy5Y4Tm3
_chemical_formula_sum 'Dy10 Y8 Tm6'
_cell_length_a 16.039
_cell_length_b 5.846
_cell_length_c 9.254
_cell_angle_alpha 90.00
_cell_angle_beta 116.98
_cell_angle_gamma 90.00
_space_group_name_H-M_alt 'C 1 2/m 1'
_space_group_IT_number 12
_space_group_name_Hall '-C 2y'
loop_
_atom_site_label
_atom_site_type_symbol
_atom_site_fract_x
_atom_site_fract_y
_atom_site_fract_z
Dy1 Dy 0.000 0.000 0.000
Dy2 Dy 0.074 0.500 0.702
Dy3 Dy 0.173 0.500 0.384
Y1 Y 0.080 0.000 0.438
Y2 Y 0.214 0.000 0.878
Tm1 Tm 0.000 0.500 0.000
Tm2 Tm 0.210 0.000 0.233
# energy of formation: 0.24 eV/atom

---

Number 1: calculated volume 106.5 Å³/cell. Number 2: calculated volume 422.0 Å³/cell. Number 3: calculated volume 225.5 Å³/cell. Number 4: calculated volume 773.2 Å³/cell.